Run P
This record from the Alexandria database describes a geometry-optimized PaAlTc structure. The functional is GGA-PBE.

Output
Crystal system   hexagonal

Cell and atoms, written as extended XYZ:
```
3
Lattice="-1.854 -2.442 -1.516 2.416 -3.123 2.077 -3.691 1.609 1.922" Properties=species:S:1:pos:R:3 pbc="T T T"
Pa -2.273 -0.782 1.468
Tc -1.545 -2.035 -1.263
Al -1.164 -3.580 0.762
```


Run Q
This record from the Alexandria database describes a geometry-optimized PaAlTc structure. The functional is GGA-PBE.

Output
Crystal system   orthorhombic

Cell and atoms, written as extended XYZ:
```
12
Lattice="7.379 -2.304 0.000 -3.174 7.048 0.000 -2.102 -2.372 5.904" Properties=species:S:1:pos:R:3 pbc="T T T"
Al 0.000 0.000 2.725
Al 2.102 2.372 3.179
Al -1.587 3.524 0.227
Al -1.587 3.524 5.677
Tc 1.309 4.134 1.476
Tc 1.845 -0.576 4.428
Tc 2.896 0.610 1.476
Tc -1.845 0.576 4.428
Pa -0.620 4.616 2.952
Pa 0.967 1.092 0.000
Pa -2.554 2.432 2.952
Pa 3.237 3.653 0.000
```


Run R
This record from the Alexandria database describes a geometry-optimized PaAlTc structure. The functional is GGA-PBE.

Output
Crystal system   orthorhombic

Cell and atoms, written as extended XYZ:
```
6
Lattice="4.729 0.023 -2.469 -3.136 4.309 -0.246 0.152 -0.023 5.333" Properties=species:S:1:pos:R:3 pbc="T T T"
Pa 0.857 0.619 4.131
Pa 0.888 3.690 -1.513
Al -1.492 2.143 2.543
Al 2.441 0.000 1.432
Tc 0.872 2.154 1.309
Tc -1.568 2.154 -0.123
```


Run S
This record from the Alexandria database describes a geometry-optimized PaAlTc structure. The functional is GGA-PBE.

Output
Crystal system   tetragonal

Cell and atoms, written as extended XYZ:
```
3
Lattice="-2.414 -0.883 1.891 1.950 -1.985 1.563 1.535 5.528 1.847" Properties=species:S:1:pos:R:3 pbc="T T T"
Pa 0.820 2.577 2.250
Tc 0.170 -0.169 2.831
Al 0.080 0.252 0.220
```


Relative energies in meV/atom: run P 242; run Q 561; run R 0; run S 111


Run P
This record from the Alexandria database describes a geometry-optimized Pa2AlTc2 structure. The functional is GGA-PBE.

Output
Crystal system   orthorhombic

Cell and atoms, written as extended XYZ:
```
5
Lattice="-0.159 -1.507 -4.140 -3.549 -3.857 -0.807 -4.179 1.681 -2.799" Properties=species:S:1:pos:R:3 pbc="T T T"
Pa -2.407 -0.959 -1.905
Pa -5.479 -2.724 -5.839
Al 0.000 0.000 0.000
Tc -4.103 -0.436 -4.378
Tc -3.783 -3.247 -3.367
```


Run Q
This record from the Alexandria database describes a geometry-optimized Pa2AlTc2 structure. The functional is GGA-PBE.

Output
Crystal system   monoclinic

Cell and atoms, written as extended XYZ:
```
10
Lattice="5.112 0.000 0.000 -2.556 4.871 -1.596 0.000 -0.272 8.316" Properties=species:S:1:pos:R:3 pbc="T T T"
Pa 1.824 1.444 0.654
Pa -0.732 3.291 1.907
Pa 0.732 3.156 6.065
Pa 3.288 1.308 4.812
Al 4.503 -0.068 2.079
Al 0.609 -0.204 6.237
Tc 1.803 3.415 2.660
Tc 4.360 1.321 -0.099
Tc 0.753 1.185 4.059
Tc -1.803 3.279 6.818
```


Relative energies in meV/atom: run P 16; run Q 0


Run P
This record from the Alexandria database describes a geometry-optimized PaTiAl2 structure. The functional is GGA-PBE.

Output
Crystal system   tetragonal

Cell and atoms, written as extended XYZ:
```
4
Lattice="2.901 0.000 0.000 0.000 2.901 0.000 0.000 0.000 8.791" Properties=species:S:1:pos:R:3 pbc="T T T"
Pa 1.450 1.450 4.396
Al 0.000 0.000 6.830
Al 0.000 0.000 1.961
Ti 1.450 1.450 0.000
```


Run Q
This record from the Alexandria database describes a geometry-optimized PaTiAl2 structure. The functional is GGA-PBE.

Output
Crystal system   tetragonal

Cell and atoms, written as extended XYZ:
```
4
Lattice="-2.144 -2.983 -2.629 2.898 0.490 -2.919 2.212 -3.072 1.681" Properties=species:S:1:pos:R:3 pbc="T T T"
Pa -1.072 -1.491 -1.315
Al 1.106 -1.536 0.841
Al 1.449 0.245 -1.459
Ti 1.483 -2.783 -1.934
```


Run R
This record from the Alexandria database describes a geometry-optimized PaTiAl2 structure. The functional is GGA-PBE.

Output
Crystal system   cubic

Cell and atoms, written as extended XYZ:
```
4
Lattice="-4.549 -0.162 -1.600 -2.897 -3.623 1.326 -3.656 0.822 3.036" Properties=species:S:1:pos:R:3 pbc="T T T"
Pa 0.000 0.000 0.000
Al -8.327 -2.222 2.073
Al -2.775 -0.741 0.690
Ti -5.551 -1.482 1.381
```


Relative energies in meV/atom: run P 0; run Q 122; run R 194


Run P
This record from the Alexandria database describes a geometry-optimized PaTiAl structure. The functional is GGA-PBE.

Output
Crystal system   orthorhombic

Cell and atoms, written as extended XYZ:
```
6
Lattice="2.852 0.000 -0.015 0.000 4.726 -0.005 0.044 0.009 8.447" Properties=species:S:1:pos:R:3 pbc="T T T"
Pa 1.706 1.968 5.780
Pa 1.698 4.329 4.326
Ti 1.676 1.962 0.088
Ti 1.684 4.326 1.571
Al 0.263 1.965 2.628
Al 0.288 4.333 7.493
```


Run Q
This record from the Alexandria database describes a geometry-optimized PaTiAl structure. The functional is GGA-PBE.

Output
Crystal system   trigonal

Cell and atoms, written as extended XYZ:
```
3
Lattice="-1.135 -0.344 2.702 2.463 -4.079 0.514 1.951 4.164 1.350" Properties=species:S:1:pos:R:3 pbc="T T T"
Pa -0.163 -0.049 0.387
Al 1.560 -1.554 2.537
Ti 1.882 1.344 1.643
```


Relative energies in meV/atom: run P 0; run Q 175


Run P
This record from the Alexandria database describes a geometry-optimized TmPa2Al structure. The functional is GGA-PBE.

Output
Crystal system   trigonal

Cell and atoms, written as extended XYZ:
```
4
Lattice="-1.284 -0.113 2.859 -3.116 -0.167 0.314 -0.875 -11.479 0.872" Properties=species:S:1:pos:R:3 pbc="T T T"
Pa -1.036 -8.379 0.922
Pa -4.239 -3.381 3.122
Tm 0.000 0.000 0.000
Al -2.638 -5.880 2.022
```


Run Q
This record from the Alexandria database describes a geometry-optimized TmPa2Al structure. The functional is GGA-PBE.

Output
Crystal system   tetragonal

Cell and atoms, written as extended XYZ:
```
4
Lattice="-3.228 1.427 -3.504 0.743 -3.710 -2.195 -3.244 -1.948 2.195" Properties=species:S:1:pos:R:3 pbc="T T T"
Pa -1.622 -0.974 1.097
Pa 0.372 -1.855 -1.098
Tm -2.865 -2.116 -1.752
Al -1.614 0.713 -1.752
```


Relative energies in meV/atom: run P 238; run Q 0


Run P
This record from the Alexandria database describes a geometry-optimized Tm2PaAl structure. The functional is GGA-PBE.

Output
Crystal system   trigonal

Cell and atoms, written as extended XYZ:
```
4
Lattice="-1.702 1.512 2.306 -2.368 -1.570 1.559 6.046 -3.494 9.032" Properties=species:S:1:pos:R:3 pbc="T T T"
Pa 0.000 0.000 0.000
Tm 3.920 -2.496 6.808
Tm -1.944 -1.056 6.089
Al 0.988 -1.776 6.448
```


Run Q
This record from the Alexandria database describes a geometry-optimized Tm2PaAl structure. The functional is GGA-PBE.

Output
Crystal system   tetragonal

Cell and atoms, written as extended XYZ:
```
4
Lattice="-0.182 0.573 3.292 -2.425 -2.290 0.265 6.137 -6.332 1.441" Properties=species:S:1:pos:R:3 pbc="T T T"
Pa 1.765 -4.025 2.499
Tm 4.751 -4.902 1.115
Tm 1.386 -1.430 0.325
Al -1.303 -0.859 1.778
```


Relative energies in meV/atom: run P 259; run Q 0